# 1
La5Pm2Pr (PBE, relaxed); excess energy over the best structure of this formula in the dataset = 30 kJ/mol of formula units; space group = Cmcm; calculated formation energy = 0.12 eV per atom; raw total energy = -75.9 eV per cell; ρ = 6.29 g cm⁻³; N(E_F) = 1.61 states/eV per atom
1.0
2.9500 -8.5757 0.0000
2.9500 8.5757 0.0000
0.0000 0.0000 11.7501
La Pm Pr
10 4 2
Cartesian
2.9500 7.7907 7.2228
2.9500 7.7907 10.4024
2.9500 1.8707 2.9375
2.9500 1.4779 6.9014
2.9500 1.4779 10.7238
2.9500 -1.4779 1.0263
2.9500 -1.4779 4.8487
2.9500 -1.8707 8.8126
2.9500 -7.7907 1.3478
2.9500 -7.7907 4.5273
2.9500 4.9110 0.9834
2.9500 4.9110 4.8917
2.9500 -4.9110 6.8584
2.9500 -4.9110 10.7668
2.9500 4.6437 8.8126
2.9500 -4.6437 2.9375

=====

# 2
La3Pm4Pr5 (PBE, relaxed); excess energy over the best structure of this formula in the dataset = 240 kJ/mol of formula units; space group = C2/m; calculated formation energy = 0.22 eV per atom; raw total energy = -55.0 eV per cell; ρ = 6.42 g cm⁻³; N(E_F) = 1.57 states/eV per atom
1.0
9.2803 -2.9829 0.0000
9.2803 2.9829 0.0000
-4.4153 0.0000 7.9464
La Pm Pr
3 4 5
Cartesian
0.0000 0.0000 0.0000
2.4379 0.0000 6.1512
11.7075 0.0000 1.7952
3.9604 0.0000 2.7978
7.3312 0.0000 2.3753
6.8141 0.0000 5.5711
10.1850 0.0000 5.1486
-0.0773 0.0000 3.4077
-0.8935 0.0000 7.0675
9.2803 0.0000 0.0000
15.0388 0.0000 0.8789
14.2226 0.0000 4.5387

=====

# 3
La3Pm4Pr (PBE, relaxed); excess energy over the best structure of this formula in the dataset = 57 kJ/mol of formula units; space group = Immm; calculated formation energy = 0.11 eV per atom; raw total energy = -37.7 eV per cell; ρ = 6.58 g cm⁻³; N(E_F) = 1.66 states/eV per atom
1.0
-1.7809 6.0091 6.7051
1.7809 -6.0091 6.7051
1.7809 6.0091 -6.7051
La Pm Pr
3 4 1
Cartesian
0.0000 0.0000 0.0000
1.7809 0.0000 3.4819
0.0000 6.0091 3.2232
1.7809 3.0080 -1.7916
1.7809 3.0080 1.7916
0.0000 3.0011 4.9135
0.0000 3.0011 8.4967
0.0000 0.0000 6.7051

=====

# 4
La5Pm2Pr4 (PBE, relaxed); excess energy over the best structure of this formula in the dataset = 7 kJ/mol of formula units; space group = C2/m; calculated formation energy = 0.09 eV per atom; raw total energy = -52.3 eV per cell; ρ = 6.35 g cm⁻³; N(E_F) = 1.58 states/eV per atom
1.0
12.4621 -1.8162 0.0000
12.4621 1.8162 0.0000
-0.7473 0.0000 8.9374
La Pm Pr
5 2 4
Cartesian
0.0000 0.0000 0.0000
7.4717 0.0000 4.7173
8.4395 0.0000 8.4767
15.7373 0.0000 0.4607
16.7051 0.0000 4.2201
5.0490 0.0000 7.3822
19.1278 0.0000 1.5552
1.6634 0.0000 6.2353
10.9272 0.0000 5.8521
13.2496 0.0000 3.0853
22.5134 0.0000 2.7021